# VCdNi2Ru (GGA-PBE, relaxed)
data_VCdNi2Ru
_cell_length_a 4.5970
_cell_length_b 4.5970
_cell_length_c 4.3580
_cell_angle_alpha 90.00
_cell_angle_beta 90.00
_cell_angle_gamma 90.00
_space_group_name_H-M_alt 'P 4/m m m'
_space_group_IT_number 123
_space_group_name_Hall '-P 4 2'
loop_
_atom_site_label
_atom_site_type_symbol
_atom_site_fract_x
_atom_site_fract_y
_atom_site_fract_z
V1 V 0.0000 0.0000 0.0000
Cd1 Cd 0.5000 0.5000 0.0000
Ni1 Ni 0.0000 0.5000 0.5000
Ru1 Ru 0.0000 0.0000 0.5000
# Total magnetization = 0.00 μB/atom
# Energy of formation from the pure elements = 4.95 eV per formula unit
# Mass density = 6.88 Mg/m³
# Crystal system = tetragonal